{
  "formula": "Ac2Zn4InAg3",
  "functional": "GGA-PBE",
  "state": "relaxed",
  "magmom_total_mub_per_fu": 0.000,
  "formation_enthalpy_0k_ev_per_atom": -0.27,
  "crystal_system": "tetragonal",
  "cell": [[4.5035, 0.0000, 0.0000], [0.0000, 4.5035, 0.0000], [0.0000, 0.0000, 11.3588]],
  "species": ["Ac", "Ac", "Zn", "Zn", "Zn", "Zn", "In", "Ag", "Ag", "Ag"],
  "fractional_positions": [[0.0000, 0.5000, 0.2440], [0.5000, 0.0000, 0.7560], [0.0000, 0.0000, 0.0000], [0.0000, 0.5000, 0.6394], [0.5000, 0.0000, 0.3606], [0.5000, 0.5000, 0.0000], [0.0000, 0.0000, 0.5000], [0.0000, 0.5000, 0.8713], [0.5000, 0.0000, 0.1287], [0.5000, 0.5000, 0.5000]]
}

---

{
  "formula": "Pr2PuCu",
  "functional": "GGA-PBE",
  "state": "relaxed",
  "magmom_total_mub_per_fu": 6.464,
  "formation_enthalpy_0k_ev_per_atom": 0.06,
  "crystal_system": "tetragonal",
  "cell": [[3.5901, 0.0000, 0.0000], [0.0000, 3.5901, 0.0000], [0.0000, 0.0000, 8.6320]],
  "species": ["Pr", "Pr", "Pu", "Cu"],
  "fractional_positions": [[0.0000, 0.0000, 0.2094], [0.0000, 0.0000, 0.7906], [0.5000, 0.5000, 0.5000], [0.5000, 0.5000, 0.0000]]
}

---

{
  "formula": "Sr2AlCr",
  "functional": "GGA-PBE",
  "state": "relaxed",
  "magmom_total_mub_per_fu": 4.852,
  "formation_enthalpy_0k_ev_per_atom": 0.35,
  "crystal_system": "tetragonal",
  "cell": [[-2.6998, 2.6998, 3.8260], [2.6998, -2.6998, 3.8260], [2.6998, 2.6998, -3.8260]],
  "species": ["Sr", "Sr", "Al", "Cr"],
  "fractional_positions": [[0.0000, 0.0000, 0.0000], [0.7500, 0.2500, 0.5000], [0.2500, 0.7500, 0.5000], [0.5000, 0.5000, 0.0000]]
}

---

{
  "formula": "La7Pm5",
  "functional": "GGA-PBE",
  "state": "relaxed",
  "magmom_total_mub_per_fu": 0.000,
  "formation_enthalpy_0k_ev_per_atom": 0.01,
  "crystal_system": "monoclinic",
  "cell": [[9.6980, -1.8596, 0.0000], [9.6980, 1.8596, 0.0000], [-6.4675, 0.0000, 11.9737]],
  "species": ["La", "La", "La", "La", "La", "La", "La", "Pm", "Pm", "Pm", "Pm", "Pm"],
  "fractional_positions": [[0.0000, 0.0000, 0.0000], [0.1406, 0.1406, 0.7514], [0.1671, 0.1671, 0.5018], [0.4737, 0.4737, 0.7500], [0.5263, 0.5263, 0.2500], [0.8329, 0.8329, 0.4982], [0.8594, 0.8594, 0.2486], [0.1924, 0.1924, 0.2494], [0.3321, 0.3321, 0.9965], [0.5000, 0.5000, 0.5000], [0.6679, 0.6679, 0.0035], [0.8076, 0.8076, 0.7506]]
}

---

> Which formula does entry 3 have?

Sr2AlCr

---

> Number 3 is which compound?

Sr2AlCr

---

> What is the formula in the second record?

Pr2PuCu